Record 1
# Sb3IrOs PBE relaxed
data_Sb3IrOs
_chemical_formula_sum 'Sb3 Ir1 Os1'
_space_group_name_H-M_alt 'P 1'
_space_group_IT_number 1
_cell_length_a 5.037
_cell_length_b 5.037
_cell_length_c 5.037
_cell_angle_alpha 90.00
_cell_angle_beta 90.00
_cell_angle_gamma 90.00
loop_
_space_group_symop_operation_xyz
'x,y,z'
loop_
_atom_site_label
_atom_site_type_symbol
_atom_site_fract_x
_atom_site_fract_y
_atom_site_fract_z
_atom_site_occupancy
Sb1 Sb 0.000 0.000 0.500 1
Sb2 Sb 0.000 0.500 0.000 1
Os1 Os 0.000 0.000 0.000 1
Ir1 Ir 0.500 0.500 0.500 1
Sb3 Sb 0.500 0.000 0.000 1
# * energy: -5.34 eV per atom
# * ΔE_f (raw): 1.148 eV/atom


Record 2
# La2CrB PBE relaxed
data_La2CrB
_chemical_formula_sum 'La4 Cr2 B2'
_space_group_name_H-M_alt 'P 1'
_space_group_IT_number 1
_cell_length_a 10.193
_cell_length_b 10.193
_cell_length_c 7.491
_cell_angle_alpha 47.13
_cell_angle_beta 47.13
_cell_angle_gamma 90.00
loop_
_space_group_symop_operation_xyz
'x,y,z'
loop_
_atom_site_label
_atom_site_type_symbol
_atom_site_fract_x
_atom_site_fract_y
_atom_site_fract_z
_atom_site_occupancy
Cr1 Cr 0.000 0.000 0.000 1
Cr2 Cr 0.750 0.250 0.500 1
La1 La 0.462 0.125 0.250 1
B1 B 0.500 0.500 0.000 1
La2 La 0.288 0.625 0.250 1
La3 La 0.375 0.538 0.750 1
B2 B 0.250 0.750 0.500 1
La4 La 0.875 0.712 0.750 1
# * formation energy: 108 kJ/mol of formula units
# * energy: -6.26 eV per atom


Record 3
# K2YIr3O12 PBE relaxed
data_K2YIr3O12
_chemical_formula_sum 'K2 Y1 Ir3 O12'
_space_group_name_H-M_alt 'P 1'
_space_group_IT_number 1
_cell_length_a 7.616
_cell_length_b 7.616
_cell_length_c 7.616
_cell_angle_alpha 57.26
_cell_angle_beta 57.26
_cell_angle_gamma 57.26
loop_
_space_group_symop_operation_xyz
'x,y,z'
loop_
_atom_site_label
_atom_site_type_symbol
_atom_site_fract_x
_atom_site_fract_y
_atom_site_fract_z
_atom_site_occupancy
O1 O 0.913 0.313 0.313 1
O2 O 0.687 0.087 0.687 1
O3 O 0.926 0.356 0.926 1
Y1 Y 0.000 0.000 0.000 1
O4 O 0.644 0.074 0.074 1
O5 O 0.687 0.687 0.087 1
K1 K 0.397 0.397 0.397 1
O6 O 0.926 0.926 0.356 1
Ir1 Ir 0.000 0.000 0.500 1
O7 O 0.356 0.926 0.926 1
O8 O 0.313 0.313 0.913 1
O9 O 0.313 0.913 0.313 1
O10 O 0.074 0.644 0.074 1
Ir2 Ir 0.000 0.500 0.000 1
Ir3 Ir 0.500 0.000 0.000 1
O11 O 0.074 0.074 0.644 1
K2 K 0.603 0.603 0.603 1
O12 O 0.087 0.687 0.687 1
# * energy: -6.43 eV per atom
# * ΔE_f (raw): -1.170 eV/atom


Record 4
# KTa2Ti PBE relaxed
data_KTa2Ti
_chemical_formula_sum 'K1 Ta2 Ti1'
_space_group_name_H-M_alt 'P 1'
_space_group_IT_number 1
_cell_length_a 4.889
_cell_length_b 4.889
_cell_length_c 4.889
_cell_angle_alpha 60.00
_cell_angle_beta 60.00
_cell_angle_gamma 60.00
loop_
_space_group_symop_operation_xyz
'x,y,z'
loop_
_atom_site_label
_atom_site_type_symbol
_atom_site_fract_x
_atom_site_fract_y
_atom_site_fract_z
_atom_site_occupancy
K1 K 0.000 0.000 0.000 1
Ta1 Ta 0.750 0.750 0.750 1
Ta2 Ta 0.250 0.250 0.250 1
Ti1 Ti 0.500 0.500 0.500 1
# * formation energy: 605 kJ/mol of formula units
# * energy: -6.61 eV per atom


Record 5
# RuBrO2 PBE relaxed
data_RuBrO2
_chemical_formula_sum 'Ru2 Br2 O4'
_space_group_name_H-M_alt 'P 1'
_space_group_IT_number 1
_cell_length_a 5.990
_cell_length_b 5.990
_cell_length_c 5.984
_cell_angle_alpha 59.97
_cell_angle_beta 59.97
_cell_angle_gamma 90.00
loop_
_space_group_symop_operation_xyz
'x,y,z'
loop_
_atom_site_label
_atom_site_type_symbol
_atom_site_fract_x
_atom_site_fract_y
_atom_site_fract_z
_atom_site_occupancy
Ru1 Ru 0.000 0.000 0.000 1
Ru2 Ru 0.750 0.250 0.500 1
O1 O 0.843 0.125 0.250 1
O2 O 0.907 0.625 0.250 1
O3 O 0.875 0.093 0.750 1
Br1 Br 0.500 0.500 0.000 1
O4 O 0.375 0.157 0.750 1
Br2 Br 0.250 0.750 0.500 1
# * energy: -5.50 eV per atom
# * ΔE_f (raw): -0.282 eV/atom


Record 6
# Tb2PrTmAu4 PBE relaxed
data_Tb2PrTmAu4
_chemical_formula_sum 'Tb2 Pr1 Tm1 Au4'
_space_group_name_H-M_alt 'P 1'
_space_group_IT_number 1
_cell_length_a 5.105
_cell_length_b 5.105
_cell_length_c 9.025
_cell_angle_alpha 73.57
_cell_angle_beta 73.57
_cell_angle_gamma 60.00
loop_
_space_group_symop_operation_xyz
'x,y,z'
loop_
_atom_site_label
_atom_site_type_symbol
_atom_site_fract_x
_atom_site_fract_y
_atom_site_fract_z
_atom_site_occupancy
Au1 Au 0.129 0.129 0.613 1
Tb1 Tb 0.248 0.248 0.256 1
Au2 Au 0.871 0.871 0.387 1
Pr1 Pr 0.000 0.000 0.000 1
Au3 Au 0.617 0.617 0.148 1
Tm1 Tm 0.500 0.500 0.500 1
Au4 Au 0.383 0.383 0.852 1
Tb2 Tb 0.752 0.752 0.744 1
# * formation energy: -640 kJ/mol of formula units
# * energy: -4.78 eV per atom